The following is a DFT calculation (PBE-GGA) of Ce2SmBi3 after structural relaxation.

abc: 4.588 6.486 7.947
angles: 114.08 106.78 90.00
Site moments in Bohr magnetons follow the coordinates.
Fractional positions:
1 Bi 0.166 0.666 0.832  -0.03
2 Bi 0.500 0.000 0.500  -0.03
3 Bi 0.834 0.334 0.168  -0.03
4 Ce 0.167 0.167 0.834  0.82
5 Ce 0.833 0.833 0.166  0.82
6 Sm 0.500 0.500 0.500  0.00

Output
ΔH_f (0 K) ... -80.9 kJ per mole of atoms

***

The following is a DFT calculation (PBE-GGA) of Ce3SmBi4 after structural relaxation.

abc: 6.495 6.495 6.495
angles: 90.00 90.00 90.00
Site moments in Bohr magnetons follow the coordinates.
Fractional positions:
1 Ce 0.500 0.000 0.500  0.85
2 Ce 0.000 0.500 0.500  0.85
3 Ce 0.500 0.500 0.000  0.85
4 Bi 0.000 0.000 0.500  -0.03
5 Bi 0.500 0.500 0.500  -0.04
6 Bi 0.000 0.500 0.000  -0.03
7 Bi 0.500 0.000 0.000  -0.03
8 Sm 0.000 0.000 0.000  0.01

Output
ΔH_f (0 K) ... -79.6 kJ per mole of atoms

***

Number 1: uncorrected energy -5.543 eV/atom. Number 2: uncorrected energy -5.581 eV/atom.